A) VASP calculation (PBE) on a relaxed ErZrAu2 crystal.

The space group is P4/mmm (No. 123) and the conventional cell measures 3.425, 3.425 and 7.301 Å, with angles of 90.00, 90.00 and 90.00 degrees. The asymmetric unit holds Er at (0.000, 0.000, 0.000), Zr at (0.000, 0.000, 0.500) and Au at (0.500, 0.500, 0.259).

The value obtained for the total magnetization is 0.4 μB/cell. The density of states at the Fermi level is 3.944 states/eV per cell.

---

B) VASP calculation (PBE) on a relaxed ErZrAu2 crystal.

The space group is Fm-3m (No. 225) and the conventional cell measures 7.003, 7.003 and 7.003 Å, with angles of 90.00, 90.00 and 90.00 degrees. The asymmetric unit holds Er at (0.000, 0.000, 0.000), Zr at (0.000, 0.000, 0.500) and Au at (0.250, 0.250, 0.250).

The value obtained for the total magnetization is 1.6 μB/cell. The density of states at the Fermi level is 22.713 states/eV per cell.

---

Most stable: A)

---

A) VASP calculation (PBE) on a relaxed Eu2AuF crystal.

The space group is P4/mmm (No. 123) and the conventional cell measures 3.588, 3.588 and 7.491 Å, with angles of 90.00, 90.00 and 90.00 degrees. The asymmetric unit holds Eu at (0.000, 0.000, 0.248), Au at (0.500, 0.500, 0.500) and F at (0.500, 0.500, 0.000).

The value obtained for the total magnetization is 14.5 μB/cell. The density of states at the Fermi level is 2.403 states/eV per cell.

---

B) VASP calculation (PBE) on a relaxed Eu2AuF crystal.

The space group is R-3m (No. 166, hexagonal axes) and the conventional cell measures 4.1401, 4.1401 and 20.3807 Å, with angles of 90.00, 90.00 and 120.00 degrees. The asymmetric unit holds Eu at (0.0000, 0.0000, 0.2405), Au at (0.0000, 0.0000, 0.0000) and F at (0.0000, 0.0000, 0.5000).

The value obtained for the total magnetization is 43.7 μB/cell. The density of states at the Fermi level is 48.566 states/eV per cell.

---

Most stable: B)

---

A) VASP calculation (PBE) on a relaxed EuGdAu2 crystal.

The space group is P4/mmm (No. 123) and the conventional cell measures 5.218, 5.218 and 3.661 Å, with angles of 90.00, 90.00 and 90.00 degrees. The asymmetric unit holds Eu at (0.000, 0.000, 0.000), Gd at (0.500, 0.500, 0.000) and Au at (0.000, 0.500, 0.500).

The value obtained for the total magnetization is 14.2 μB/cell. The density of states at the Fermi level is 10.954 states/eV per cell.

---

B) VASP calculation (PBE) on a relaxed EuGdAu2 crystal.

The space group is Fm-3m (No. 225) and the conventional cell measures 7.359, 7.359 and 7.359 Å, with angles of 90.00, 90.00 and 90.00 degrees. The asymmetric unit holds Eu at (0.000, 0.000, 0.000), Gd at (0.000, 0.000, 0.500) and Au at (0.250, 0.250, 0.250).

The value obtained for the total magnetization is 56.9 μB/cell. The density of states at the Fermi level is 42.066 states/eV per cell.

---

Most stable: A)